No. 1
## CsBeNiS3 (PBE)

Data for a relaxed CsBeNiS3 crystal.

Cell and atoms, written as CIF:
```
data_CsBeNiS3
_symmetry_space_group_name_H-M 'C m c m'
_symmetry_Int_Tables_number 63
_symmetry_space_group_name_Hall '-C 2c 2'
_cell_length_a 3.521
_cell_length_b 14.971
_cell_length_c 9.746
_cell_angle_alpha 90.00
_cell_angle_beta 90.00
_cell_angle_gamma 90.00
loop_
_atom_site_label
_atom_site_fract_x
_atom_site_fract_y
_atom_site_fract_z
Cs1 0.000 0.239 0.250
Be1 0.000 0.031 0.750
Ni1 0.000 0.500 0.000
S1 0.000 0.093 0.556
S2 0.000 0.456 0.750
```

- calculated total energy (eV/atom) = -4.4772
- spin magnetization (μB/cell) = 0.03
- crystal system = orthorhombic


No. 2
## LaSmIn2Pt4 (PBE)

Data for a relaxed LaSmIn2Pt4 crystal.

Cell and atoms, written as CIF:
```
data_LaSmIn2Pt4
_symmetry_space_group_name_H-M 'P -6 m 2'
_symmetry_Int_Tables_number 187
_symmetry_space_group_name_Hall 'P -6 2'
_cell_length_a 4.6487
_cell_length_b 4.6487
_cell_length_c 9.2934
_cell_angle_alpha 90.00
_cell_angle_beta 90.00
_cell_angle_gamma 120.00
loop_
_atom_site_label
_atom_site_fract_x
_atom_site_fract_y
_atom_site_fract_z
La1 0.0000 0.0000 0.0000
Sm1 0.6667 0.3333 0.5000
In1 0.3333 0.6667 0.2552
Pt1 0.0000 0.0000 0.3422
Pt2 0.6667 0.3333 0.1667
```

- calculated total energy (eV/atom) = -5.8484
- spin magnetization (μB/cell) = 0.00
- crystal system = hexagonal